No. 1
# SCAN YNiCl3, PBEsol geometry
data_YNiCl3
_cell_length_a 5.200
_cell_length_b 5.200
_cell_length_c 5.200
_cell_angle_alpha 90.00
_cell_angle_beta 90.00
_cell_angle_gamma 90.00
_symmetry_space_group_name_H-M 'P m -3 m'
_symmetry_Int_Tables_number 221
_symmetry_space_group_name_Hall '-P 4 2 3'
loop_
_atom_site_label
_atom_site_type_symbol
_atom_site_fract_x
_atom_site_fract_y
_atom_site_fract_z
Y1 Y 0.000 0.000 0.000
Ni1 Ni 0.500 0.500 0.500
Cl1 Cl 0.000 0.000 0.500
# Volume (A^3/atom): 28.1
# Formation energy (no corrections) (eV per atom): -1.12
# Spin magnetization (μB per cell): 2.0

---

No. 2
# SCAN CrSe3I, PBEsol geometry
data_CrSe3I
_cell_length_a 4.730
_cell_length_b 4.730
_cell_length_c 4.730
_cell_angle_alpha 90.00
_cell_angle_beta 90.00
_cell_angle_gamma 90.00
_symmetry_space_group_name_H-M 'P m -3 m'
_symmetry_Int_Tables_number 221
_symmetry_space_group_name_Hall '-P 4 2 3'
loop_
_atom_site_label
_atom_site_type_symbol
_atom_site_fract_x
_atom_site_fract_y
_atom_site_fract_z
Cr1 Cr 0.000 0.000 0.000
Se1 Se 0.000 0.000 0.500
I1 I 0.500 0.500 0.500
# Volume (A^3/atom): 21.2
# Formation energy (no corrections) (eV per atom): 0.23
# Spin magnetization (μB per cell): 2.0

---

No. 3
# SCAN TaCoAg, PBEsol geometry
data_TaCoAg
_cell_length_a 2.895
_cell_length_b 2.895
_cell_length_c 10.560
_cell_angle_alpha 90.00
_cell_angle_beta 90.00
_cell_angle_gamma 90.00
_symmetry_space_group_name_H-M 'I 4 m m'
_symmetry_Int_Tables_number 107
_symmetry_space_group_name_Hall 'I 4 -2'
loop_
_atom_site_label
_atom_site_type_symbol
_atom_site_fract_x
_atom_site_fract_y
_atom_site_fract_z
Ta1 Ta 0.000 0.000 0.000
Co1 Co 0.000 0.000 0.364
Ag1 Ag 0.000 0.000 0.698
# Volume (A^3/atom): 14.7
# E_form (kJ/mol of formula units): 60
# Spin magnetization (μB per cell): 3.0

---

DOS at the Fermi energy list, top to bottom, in states/eV per cell: 5.85; 3.33; 3.90